## Re3SeI (PBE)

Data for a relaxed structure of Re3SeI.

## Properties
For the total magnetization, the calculation gives 0.36 μB per formula unit. As for the electronic total energy: -31.8 eV/f.u. For the uncorrected formation energy, the calculation gives 1020 kJ/mol of formula units.

Cell: 4.639 4.639 4.639 Å, 90.00 90.00 90.00°
Fractional positions:
Re  0.000  0.000  0.500
Re  0.000  0.500  0.000
Re  0.500  0.000  0.000
Se  0.000  0.000  0.000
I  0.500  0.500  0.500

---

## ThReBC (PBE)

Data for a relaxed structure of ThReBC.

## Properties
Its formation energy from the elements is -361 meV per atom. For the total magnetization, the calculation gives 0.00 μB per formula unit. As for the electronic total energy: -37.2 eV/f.u.

Cell: 3.732 3.732 8.371 Å, 90.00 90.00 90.00°
Fractional positions:
Th  0.250  0.250  0.165
Th  0.750  0.750  0.835
Re  0.250  0.750  0.500
Re  0.750  0.250  0.500
B  0.250  0.250  0.676
B  0.750  0.750  0.324
C  0.250  0.250  0.862
C  0.750  0.750  0.138

---

## CoB7Pt12 (PBE)

Data for a relaxed structure of CoB7Pt12.

## Properties
Its formation energy from the elements is 0 meV per atom. For the total magnetization, the calculation gives 0.00 μB per formula unit. As for the electronic total energy: -126.3 eV/f.u.

Cell: 6.993 6.993 6.993 Å, 107.00 107.00 107.00°
Fractional positions:
Co  0.000  0.000  0.000
B  0.024  0.747  0.747
B  0.253  0.253  0.976
B  0.253  0.976  0.253
B  0.500  0.500  0.500
B  0.747  0.024  0.747
B  0.747  0.747  0.024
B  0.976  0.253  0.253
Pt  0.000  0.262  0.738
Pt  0.000  0.738  0.262
Pt  0.240  0.240  0.489
Pt  0.240  0.489  0.240
Pt  0.262  0.000  0.738
Pt  0.262  0.738  0.000
Pt  0.489  0.240  0.240
Pt  0.511  0.760  0.760
Pt  0.738  0.000  0.262
Pt  0.738  0.262  0.000
Pt  0.760  0.511  0.760
Pt  0.760  0.760  0.511

---

## Bi2N3Cl9 (PBE)

Data for a relaxed structure of Bi2N3Cl9.

## Properties
For the total magnetization, the calculation gives 8.28 μB per formula unit. As for the electronic total energy: -39.7 eV/f.u. For the uncorrected formation energy, the calculation gives 936 kJ/mol of formula units.

Cell: 7.622 7.622 18.464 Å, 90.00 90.00 120.00°
Fractional positions:
Bi  0.333  0.667  0.148
Bi  0.333  0.667  0.352
Bi  0.667  0.333  0.648
Bi  0.667  0.333  0.852
N  0.000  0.000  0.250
N  0.000  0.000  0.750
N  0.333  0.667  0.636
N  0.333  0.667  0.864
N  0.667  0.333  0.136
N  0.667  0.333  0.364
Cl  0.028  0.514  0.250
Cl  0.170  0.340  0.083
Cl  0.170  0.340  0.417
Cl  0.170  0.830  0.083
Cl  0.170  0.830  0.417
Cl  0.340  0.170  0.583
Cl  0.340  0.170  0.917
Cl  0.486  0.514  0.250
Cl  0.486  0.972  0.250
Cl  0.514  0.028  0.750
Cl  0.514  0.486  0.750
Cl  0.660  0.830  0.083
Cl  0.660  0.830  0.417
Cl  0.830  0.170  0.583
Cl  0.830  0.170  0.917
Cl  0.830  0.660  0.583
Cl  0.830  0.660  0.917
Cl  0.972  0.486  0.750